No. 1
A plane-wave DFT calculation with GGA-PBE was carried out for a relaxed structure of SrScZn2Si.

Calculated values
Energy ... -2.225 eV/atom
Fermi-level density of states ... 5.3 states/eV per cell
V ... 32.31 A^3/atom

Cell lengths 5.1041, 5.1041, 6.2011 Å; angles 90.00, 90.00, 90.00 degrees
With the nearest neighbours (Å) after each atom.
Fractional positions:
Sr 0.0000 0.0000 0.0000  2 Sc 3.10
Sc 0.0000 0.0000 0.5000  4 Zn 2.55
Zn 0.0000 0.5000 0.5000  2 Sc 2.55
Zn 0.5000 0.0000 0.5000  2 Sc 2.55
Si 0.5000 0.5000 0.0000  4 Sr 3.61, 8 Zn 4.02

=====

No. 2
A plane-wave DFT calculation with GGA-PBE was carried out for a relaxed structure of LiPuPtAu.

Calculated values
Calculated formation energy ... -2.03 eV per formula unit
Fermi-level density of states ... 10.3 states/eV per cell
V ... 19.97 A^3/atom

Cell lengths 4.8339, 4.8339, 4.8339 Å; angles 60.00, 60.00, 60.00 degrees
With the nearest neighbours (Å) after each atom.
Fractional positions:
Li 0.0000 0.0000 0.0000  4 Pt 2.96, 4 Au 2.96
Pu 0.5000 0.5000 0.5000  4 Pt 2.96, 4 Au 2.96
Pt 0.7500 0.7500 0.7500  4 Li 2.96, 4 Pu 2.96
Au 0.2500 0.2500 0.2500  4 Li 2.96, 4 Pu 2.96

=====

No. 3
A plane-wave DFT calculation with GGA-PBE was carried out for a relaxed structure of MgTc4Au.

Calculated values
Calculated formation energy ... 2.01 eV per formula unit
Fermi-level density of states ... 5.1 states/eV per cell
V ... 16.40 A^3/atom

Cell lengths 5.1820, 5.1820, 5.1820 Å; angles 60.00, 60.00, 60.00 degrees
With the nearest neighbours (Å) after each atom.
Fractional positions:
Mg 0.0000 0.0000 0.0000  12 Tc 3.04, 4 Au 3.17
Tc 0.1264 0.6245 0.6245  6 Tc 2.58-2.60
Tc 0.6245 0.1264 0.6245  6 Tc 2.58-2.60
Tc 0.6245 0.6245 0.1264  6 Tc 2.58-2.60
Tc 0.6245 0.6245 0.6245  6 Tc 2.58-2.60
Au 0.2500 0.2500 0.2500  12 Tc 3.04, 4 Mg 3.17

=====

Question: The highest V belongs to which entry?
Answer: SrScZn2Si